[1]
Here is an optimized crystal structure of RbBa2PaSe5 from Alexandria via LeMat-Bulk. Energies are from PBE.

Computed properties:
electronic total energy: -5.21 eV/atom
crystal system: orthorhombic
M_tot: 0.00 μB/f.u.

Lattice parameters (Å, degrees): 9.151 9.151 9.151 145.39 128.01 63.97
Fractional coordinates of all 9 atoms:
Rb (0.000, 0.000, 0.000)
Ba (0.289, 0.789, 0.500)
Ba (0.711, 0.211, 0.500)
Pa (0.500, 0.500, 0.000)
Se (0.134, 0.368, 0.766)
Se (0.398, 0.632, 0.766)
Se (0.500, 0.000, 0.500)
Se (0.602, 0.368, 0.234)
Se (0.866, 0.632, 0.234)

[2]
Here is an optimized crystal structure of Rb2SN2 from Alexandria via LeMat-Bulk. Energies are from PBE.

Computed properties:
electronic total energy: -5.08 eV/atom
crystal system: monoclinic
M_tot: 0.00 μB/f.u.

Lattice parameters (Å, degrees): 6.334 6.334 9.554 108.51 108.51 91.10
Fractional coordinates of all 10 atoms:
Rb (0.058, 0.319, 0.137)
Rb (0.319, 0.058, 0.637)
Rb (0.681, 0.942, 0.363)
Rb (0.942, 0.681, 0.863)
S (0.124, 0.876, 0.250)
S (0.876, 0.124, 0.750)
N (0.450, 0.465, 0.028)
N (0.465, 0.450, 0.528)
N (0.535, 0.550, 0.472)
N (0.550, 0.535, 0.972)

[3]
Here is an optimized crystal structure of RbHgAs from Alexandria via LeMat-Bulk. Energies are from PBE.

Computed properties:
electronic total energy: -2.05 eV/atom
crystal system: tetragonal
M_tot: 0.00 μB/f.u.
formation energy from the elements: -0.08 eV per atom
D(E_F): 1.06 states/eV/f.u.

Lattice parameters (Å, degrees): 6.839 6.839 6.839 145.79 145.79 49.17
Fractional coordinates of all 3 atoms:
Rb (0.000, 0.000, 0.000)
Hg (0.265, 0.265, 0.000)
As (0.729, 0.729, 0.000)